## CeThSc (PBE)

Data for CeThSc after structural relaxation.

Cell: 4.0593 4.0593 22.9846 Å, 90.00 90.00 90.00°
Last column: nearest neighbours and their distance in Å.
Fractional positions:
Ce  0.0000  0.0000  0.1438  5 Th 3.23-3.39, 4 Sc 3.35
Ce  0.0000  0.0000  0.8562  5 Th 3.23-3.39, 4 Sc 3.35
Ce  0.5000  0.5000  0.3562  5 Th 3.23-3.39, 4 Sc 3.35
Ce  0.5000  0.5000  0.6438  5 Th 3.23-3.39, 4 Sc 3.35
Th  0.0000  0.0000  0.2914  1 Sc 3.21, 5 Ce 3.23-3.39, 4 Th 3.44
Th  0.0000  0.0000  0.7086  1 Sc 3.21, 5 Ce 3.23-3.39, 4 Th 3.44
Th  0.5000  0.5000  0.2086  1 Sc 3.21, 5 Ce 3.23-3.39, 4 Th 3.44
Th  0.5000  0.5000  0.7914  1 Sc 3.21, 5 Ce 3.23-3.39, 4 Th 3.44
Sc  0.0000  0.0000  0.4312  1 Sc 3.16, 1 Th 3.21, 4 Ce 3.35
Sc  0.0000  0.0000  0.5688  1 Sc 3.16, 1 Th 3.21, 4 Ce 3.35
Sc  0.5000  0.5000  0.0688  1 Sc 3.16, 1 Th 3.21, 4 Ce 3.35
Sc  0.5000  0.5000  0.9312  1 Sc 3.16, 1 Th 3.21, 4 Ce 3.35

Calculated values
ΔE to the lowest computed polymorph: 394.8 meV per atom
Energy relative to the elements: 442 meV/atom



## CeTh3Sc12 (PBE)

Data for CeTh3Sc12 after structural relaxation.

Cell: 4.7240 4.7240 18.8064 Å, 90.00 90.00 90.00°
Last column: nearest neighbours and their distance in Å.
Fractional positions:
Ce  0.0000  0.0000  0.0000  12 Sc 3.32-3.34
Th  0.0000  0.0000  0.2486  12 Sc 3.33-3.34
Th  0.0000  0.0000  0.5000  12 Sc 3.34
Th  0.0000  0.0000  0.7514  12 Sc 3.33-3.34
Sc  0.0000  0.5000  0.1239  8 Sc 3.32-3.34, 2 Ce 3.32, 2 Th 3.33
Sc  0.0000  0.5000  0.3745  4 Th 3.34, 8 Sc 3.34
Sc  0.0000  0.5000  0.6255  8 Sc 3.34, 4 Th 3.34
Sc  0.0000  0.5000  0.8761  8 Sc 3.32-3.34, 2 Ce 3.32, 2 Th 3.33
Sc  0.5000  0.0000  0.1239  8 Sc 3.32-3.34, 2 Ce 3.32, 2 Th 3.33
Sc  0.5000  0.0000  0.3745  4 Th 3.34, 8 Sc 3.34
Sc  0.5000  0.0000  0.6255  8 Sc 3.34, 4 Th 3.34
Sc  0.5000  0.0000  0.8761  8 Sc 3.32-3.34, 2 Ce 3.32, 2 Th 3.33
Sc  0.5000  0.5000  0.0000  8 Sc 3.32, 4 Ce 3.34
Sc  0.5000  0.5000  0.2489  8 Sc 3.33-3.34, 4 Th 3.34
Sc  0.5000  0.5000  0.5000  8 Sc 3.34, 4 Th 3.34
Sc  0.5000  0.5000  0.7511  8 Sc 3.33-3.34, 4 Th 3.34

Calculated values
Energy relative to the elements: 40 meV/atom



## CeThSc2 (PBE)

Data for CeThSc2 after structural relaxation.

Cell: 4.8461 4.8461 4.7049 Å, 90.00 90.00 90.00°
Last column: nearest neighbours and their distance in Å.
Fractional positions:
Ce  0.0000  0.0000  0.0000  8 Sc 3.38, 4 Th 3.43
Th  0.5000  0.5000  0.0000  8 Sc 3.38, 4 Ce 3.43
Sc  0.0000  0.5000  0.5000  4 Th 3.38, 4 Ce 3.38, 4 Sc 3.43
Sc  0.5000  0.0000  0.5000  4 Th 3.38, 4 Ce 3.38, 4 Sc 3.43

Calculated values
ΔE to the lowest computed polymorph: 2.2 meV per atom
Energy relative to the elements: 62 meV/atom



## CeTh5Sc2 (PBE)

Data for CeTh5Sc2 after structural relaxation.

Cell: 8.2291 8.2291 7.0359 Å, 90.00 90.00 90.00°
Last column: nearest neighbours and their distance in Å.
Fractional positions:
Ce  0.0000  0.0000  0.0000  10 Th 3.40-3.52
Ce  0.5000  0.5000  0.5000  10 Th 3.40-3.52
Th  0.0000  0.0000  0.5000  8 Th 3.40, 2 Ce 3.52
Th  0.2500  0.2500  0.2500  2 Ce 3.40, 4 Th 3.40-3.52, 4 Sc 3.40
Th  0.2500  0.2500  0.7500  4 Th 3.40-3.52, 2 Ce 3.40, 4 Sc 3.40
Th  0.2500  0.7500  0.2500  4 Sc 3.40, 4 Th 3.40-3.52, 2 Ce 3.40
Th  0.2500  0.7500  0.7500  4 Sc 3.40, 2 Ce 3.40, 4 Th 3.40-3.52
Th  0.5000  0.5000  0.0000  8 Th 3.40, 2 Ce 3.52
Th  0.7500  0.2500  0.2500  4 Sc 3.40, 4 Th 3.40-3.52, 2 Ce 3.40
Th  0.7500  0.2500  0.7500  4 Sc 3.40, 2 Ce 3.40, 4 Th 3.40-3.52
Th  0.7500  0.7500  0.2500  4 Th 3.40-3.52, 2 Ce 3.40, 4 Sc 3.40
Th  0.7500  0.7500  0.7500  2 Ce 3.40, 4 Th 3.40-3.52, 4 Sc 3.40
Sc  0.0000  0.5000  0.0000  8 Th 3.40, 2 Sc 3.52
Sc  0.0000  0.5000  0.5000  8 Th 3.40, 2 Sc 3.52
Sc  0.5000  0.0000  0.0000  8 Th 3.40, 2 Sc 3.52
Sc  0.5000  0.0000  0.5000  8 Th 3.40, 2 Sc 3.52

Calculated values
Energy relative to the elements: 106 meV/atom



## Ce6Th3Sc2 (PBE)

Data for Ce6Th3Sc2 after structural relaxation.

Cell: 5.9348 5.9348 10.8728 Å, 95.74 95.74 120.59°
Last column: nearest neighbours and their distance in Å.
Fractional positions:
Ce  0.0675  0.3782  0.2301  2 Sc 3.20-3.25, 6 Ce 3.20-3.56, 3 Th 3.45-3.55
Ce  0.2468  0.2468  0.7587  2 Sc 3.21, 6 Ce 3.22-3.56, 3 Th 3.38-3.44
Ce  0.3782  0.0675  0.2301  2 Sc 3.20-3.25, 6 Ce 3.20-3.56, 3 Th 3.45-3.55
Ce  0.6218  0.9325  0.7699  2 Sc 3.20-3.25, 6 Ce 3.20-3.56, 3 Th 3.45-3.55
Ce  0.7532  0.7532  0.2413  2 Sc 3.21, 6 Ce 3.22-3.56, 3 Th 3.38-3.44
Ce  0.9325  0.6218  0.7699  2 Sc 3.20-3.25, 6 Ce 3.20-3.56, 3 Th 3.45-3.55
Th  0.1691  0.8309  0.5000  6 Ce 3.38-3.55, 6 Th 3.38-3.49
Th  0.5000  0.5000  0.5000  6 Th 3.41-3.42, 6 Ce 3.44-3.45
Th  0.8309  0.1691  0.5000  6 Ce 3.38-3.55, 6 Th 3.38-3.49
Sc  0.3383  0.6617  0.0000  6 Ce 3.20-3.25, 3 Sc 3.33-3.46
Sc  0.6617  0.3383  0.0000  6 Ce 3.20-3.25, 3 Sc 3.33-3.46

Calculated values
Energy relative to the elements: 214 meV/atom



## CeThSc6 (PBE)

Data for CeThSc6 after structural relaxation.

Cell: 9.3541 9.4131 4.7295 Å, 90.00 90.00 90.00°
Last column: nearest neighbours and their distance in Å.
Fractional positions:
Ce  0.0000  0.0000  0.0000  12 Sc 3.32-3.33
Ce  0.5000  0.5000  0.0000  12 Sc 3.32-3.33
Th  0.0000  0.5000  0.0000  12 Sc 3.32-3.34
Th  0.5000  0.0000  0.0000  12 Sc 3.32-3.34
Sc  0.0000  0.2495  0.5000  8 Sc 3.31-3.33, 2 Ce 3.33, 2 Th 3.34
Sc  0.0000  0.7505  0.5000  8 Sc 3.31-3.33, 2 Ce 3.33, 2 Th 3.34
Sc  0.2493  0.0000  0.5000  8 Sc 3.31-3.34, 2 Ce 3.32, 2 Th 3.33
Sc  0.2500  0.2500  0.0000  2 Th 3.32, 2 Ce 3.32, 8 Sc 3.33-3.34
Sc  0.2500  0.7500  0.0000  2 Th 3.32, 2 Ce 3.32, 8 Sc 3.33-3.34
Sc  0.2507  0.5000  0.5000  8 Sc 3.31-3.34, 2 Ce 3.32, 2 Th 3.33
Sc  0.5000  0.2505  0.5000  8 Sc 3.31-3.33, 2 Ce 3.33, 2 Th 3.34
Sc  0.5000  0.7495  0.5000  8 Sc 3.31-3.33, 2 Ce 3.33, 2 Th 3.34
Sc  0.7493  0.5000  0.5000  8 Sc 3.31-3.34, 2 Ce 3.32, 2 Th 3.33
Sc  0.7500  0.2500  0.0000  2 Th 3.32, 2 Ce 3.32, 8 Sc 3.33-3.34
Sc  0.7500  0.7500  0.0000  2 Ce 3.32, 2 Th 3.32, 8 Sc 3.33-3.34
Sc  0.7507  0.0000  0.5000  8 Sc 3.31-3.34, 2 Ce 3.32, 2 Th 3.33

Calculated values
Energy relative to the elements: 53 meV/atom



## Ce2ThSc (PBE)

Data for Ce2ThSc after structural relaxation.

Cell: 3.4181 5.7571 11.2509 Å, 90.00 90.00 90.00°
Last column: nearest neighbours and their distance in Å.
Fractional positions:
Ce  0.0000  0.0000  0.0000  2 Ce 3.02, 4 Th 3.35, 2 Sc 3.37
Ce  0.0000  0.5000  0.2785  2 Ce 3.02, 4 Sc 3.36
Ce  0.5000  0.0000  0.7785  2 Ce 3.02, 4 Sc 3.36
Ce  0.5000  0.5000  0.5000  2 Ce 3.02, 4 Th 3.35, 2 Sc 3.37
Th  0.0000  0.0000  0.5185  6 Ce 3.35-3.39, 2 Sc 3.39, 2 Th 3.42
Th  0.5000  0.5000  0.0185  6 Ce 3.35-3.39, 2 Sc 3.39, 2 Th 3.42
Sc  0.0000  0.5000  0.7582  6 Ce 3.36-3.37, 2 Th 3.39, 2 Sc 3.42
Sc  0.5000  0.0000  0.2582  6 Ce 3.36-3.37, 2 Th 3.39, 2 Sc 3.42

Calculated values
ΔE to the lowest computed polymorph: 69.7 meV per atom
Energy relative to the elements: 129 meV/atom



## Ce2ThSc (PBE)

Data for Ce2ThSc after structural relaxation.

Cell: 3.4587 3.4587 9.4435 Å, 90.00 90.00 90.00°
Last column: nearest neighbours and their distance in Å.
Fractional positions:
Ce  0.0000  0.0000  0.2455  4 Sc 3.37, 4 Th 3.43, 4 Ce 3.46
Ce  0.0000  0.0000  0.7545  4 Sc 3.37, 4 Th 3.43, 4 Ce 3.46
Th  0.5000  0.5000  0.5000  8 Ce 3.43, 4 Th 3.46
Sc  0.5000  0.5000  0.0000  8 Ce 3.37, 4 Sc 3.46

Calculated values
ΔE to the lowest computed polymorph: 3.0 meV per atom
Energy relative to the elements: 62 meV/atom



## CeTh2Sc (PBE)

Data for CeTh2Sc after structural relaxation.

Cell: 3.4667 3.4667 33.7418 Å, 90.00 90.00 120.00°
Last column: nearest neighbours and their distance in Å.
Fractional positions:
Ce  0.0000  0.0000  0.0000  6 Th 3.46-3.52, 6 Ce 3.47
Ce  0.3333  0.6667  0.6667  6 Th 3.46-3.52, 6 Ce 3.47
Ce  0.6667  0.3333  0.3333  6 Th 3.46-3.52, 6 Ce 3.47
Th  0.0000  0.0000  0.5829  3 Sc 3.38, 3 Ce 3.46, 6 Th 3.47
Th  0.0000  0.0000  0.7524  3 Sc 3.45, 6 Th 3.47, 3 Ce 3.52
Th  0.3333  0.6667  0.2495  3 Sc 3.38, 3 Ce 3.46, 6 Th 3.47
Th  0.3333  0.6667  0.4190  3 Sc 3.45, 6 Th 3.47, 3 Ce 3.52
Th  0.6667  0.3333  0.0857  3 Sc 3.45, 6 Th 3.47, 3 Ce 3.52
Th  0.6667  0.3333  0.9162  3 Sc 3.38, 3 Ce 3.46, 6 Th 3.47
Sc  0.0000  0.0000  0.1690  6 Th 3.38-3.45, 6 Sc 3.47
Sc  0.3333  0.6667  0.8357  6 Th 3.38-3.45, 6 Sc 3.47
Sc  0.6667  0.3333  0.5023  6 Th 3.38-3.45, 6 Sc 3.47

Calculated values
ΔE to the lowest computed polymorph: 31.2 meV per atom
Energy relative to the elements: 55 meV/atom



## CeThSc14 (PBE)

Data for CeThSc14 after structural relaxation.

Cell: 10.4683 6.6750 6.6750 Å, 60.57 90.00 90.00°
Last column: nearest neighbours and their distance in Å.
Fractional positions:
Ce  0.0000  0.0000  0.0000  10 Sc 3.29-3.39, 2 Th 3.37
Th  0.0000  0.5037  0.5037  10 Sc 3.25-3.42, 2 Ce 3.37
Sc  0.0000  0.4947  0.9956  2 Th 3.25-3.42, 2 Ce 3.29-3.39, 8 Sc 3.29-3.37
Sc  0.0000  0.9956  0.4947  2 Th 3.25-3.42, 2 Ce 3.29-3.39, 8 Sc 3.29-3.37
Sc  0.2535  0.3295  0.3295  11 Sc 3.22-3.37, 1 Th 3.33
Sc  0.2547  0.8285  0.8285  11 Sc 3.21-3.37, 1 Ce 3.32
Sc  0.2570  0.3278  0.8303  10 Sc 3.19-3.38, 1 Th 3.29, 1 Ce 3.30
Sc  0.2570  0.8303  0.3278  10 Sc 3.19-3.38, 1 Th 3.29, 1 Ce 3.30
Sc  0.5000  0.4971  0.4971  12 Sc 3.20-3.37
Sc  0.5000  0.4969  0.9983  12 Sc 3.20-3.38
Sc  0.5000  0.9969  0.9969  12 Sc 3.19-3.37
Sc  0.5000  0.9983  0.4969  12 Sc 3.20-3.38
Sc  0.7430  0.3278  0.8303  10 Sc 3.19-3.38, 1 Th 3.29, 1 Ce 3.30
Sc  0.7430  0.8303  0.3278  10 Sc 3.19-3.38, 1 Th 3.29, 1 Ce 3.30
Sc  0.7453  0.8285  0.8285  11 Sc 3.21-3.37, 1 Ce 3.32
Sc  0.7465  0.3295  0.3295  11 Sc 3.22-3.37, 1 Th 3.33

Calculated values
Energy relative to the elements: 24 meV/atom



## CeTh12Sc6 (PBE)

Data for CeTh12Sc6 after structural relaxation.

Cell: 9.0459 9.0459 9.0459 Å, 109.47 109.47 109.47°
Last column: nearest neighbours and their distance in Å.
Fractional positions:
Ce  0.0000  0.0000  0.0000  12 Th 3.35
Th  0.0905  0.2673  0.8232  1 Sc 3.04, 1 Ce 3.35
Th  0.1768  0.4442  0.2673  1 Sc 3.04, 1 Ce 3.35
Th  0.1768  0.9095  0.7327  1 Sc 3.04, 1 Ce 3.35
Th  0.2673  0.1768  0.4442  1 Sc 3.04, 1 Ce 3.35
Th  0.2673  0.8232  0.0905  1 Sc 3.04, 1 Ce 3.35
Th  0.4442  0.2673  0.1768  1 Sc 3.04, 1 Ce 3.35
Th  0.5558  0.7327  0.8232  1 Sc 3.04, 1 Ce 3.35
Th  0.7327  0.1768  0.9095  1 Sc 3.04, 1 Ce 3.35
Th  0.7327  0.8232  0.5558  1 Sc 3.04, 1 Ce 3.35
Th  0.8232  0.0905  0.2673  1 Sc 3.04, 1 Ce 3.35
Th  0.8232  0.5558  0.7327  1 Sc 3.04, 1 Ce 3.35
Th  0.9095  0.7327  0.1768  1 Sc 3.04, 1 Ce 3.35
Sc  0.1479  0.5000  0.6479  2 Th 3.04, 1 Sc 3.09
Sc  0.3521  0.8521  0.5000  2 Th 3.04, 1 Sc 3.09
Sc  0.5000  0.3521  0.8521  2 Th 3.04, 1 Sc 3.09
Sc  0.5000  0.6479  0.1479  2 Th 3.04, 1 Sc 3.09
Sc  0.6479  0.1479  0.5000  2 Th 3.04, 1 Sc 3.09
Sc  0.8521  0.5000  0.3521  2 Th 3.04, 1 Sc 3.09

Calculated values
Energy relative to the elements: 252 meV/atom



## CeThSc2 (PBE)

Data for CeThSc2 after structural relaxation.

Cell: 7.6507 7.6507 7.6507 Å, 90.00 90.00 90.00°
Last column: nearest neighbours and their distance in Å.
Fractional positions:
Ce  0.0000  0.0000  0.0000  8 Sc 3.31
Ce  0.0000  0.5000  0.5000  8 Sc 3.31
Ce  0.5000  0.0000  0.5000  8 Sc 3.31
Ce  0.5000  0.5000  0.0000  8 Sc 3.31
Th  0.0000  0.0000  0.5000  8 Sc 3.31
Th  0.0000  0.5000  0.0000  8 Sc 3.31
Th  0.5000  0.0000  0.0000  8 Sc 3.31
Th  0.5000  0.5000  0.5000  8 Sc 3.31
Sc  0.2500  0.2500  0.2500  4 Th 3.31, 4 Ce 3.31
Sc  0.2500  0.2500  0.7500  4 Th 3.31, 4 Ce 3.31
Sc  0.2500  0.7500  0.2500  4 Th 3.31, 4 Ce 3.31
Sc  0.2500  0.7500  0.7500  4 Th 3.31, 4 Ce 3.31
Sc  0.7500  0.2500  0.2500  4 Th 3.31, 4 Ce 3.31
Sc  0.7500  0.2500  0.7500  4 Th 3.31, 4 Ce 3.31
Sc  0.7500  0.7500  0.2500  4 Th 3.31, 4 Ce 3.31
Sc  0.7500  0.7500  0.7500  4 Ce 3.31, 4 Th 3.31

Calculated values
ΔE to the lowest computed polymorph: 50.8 meV per atom
Energy relative to the elements: 110 meV/atom



Which value of energy relative to the elements does entry 7 give? 129 meV/atom



Which of these has the lowest energy relative to the elements? CeThSc14